[1]
The following is a PBE-GGA calculation of crystalline NaB2SeBr at its relaxed geometry, from Alexandria via LeMat-Bulk.

Output
V: 25.9 Å³/atom

Unit cell a=5.1299 b=4.9119 c=5.1299 alpha=90.00 beta=90.00 gamma=90.00
Sites, in units of the cell vectors:
1 Br 0.5000 0.5000 0.5000
2 B 0.5000 0.0000 0.0000
3 B 0.0000 0.0000 0.5000
4 Se 0.0000 0.5000 0.0000
5 Na 0.0000 0.0000 0.0000

=====

[2]
The following is a PBE-GGA calculation of crystalline MgCo2Cu at its relaxed geometry, from Alexandria via LeMat-Bulk.

Output
ΔE_f: 150 meV per atom
V: 12.7 Å³/atom

Unit cell a=4.4581 b=4.4581 c=4.5991 alpha=80.21 beta=80.21 gamma=34.54
Sites, in units of the cell vectors:
1 Cu 0.5071 0.5071 0.4965
2 Co 0.2524 0.2524 0.2270
3 Co 0.9903 0.9903 0.0384
4 Mg 0.7502 0.7502 0.7381

=====

[3]
The following is a PBE-GGA calculation of crystalline TcS2Br at its relaxed geometry, from Alexandria via LeMat-Bulk.

Output
ΔE to the lowest computed polymorph: 0 meV per atom
V: 21.0 Å³/atom

Unit cell a=7.8455 b=7.8455 c=7.8455 alpha=26.34 beta=26.34 gamma=26.34
Sites, in units of the cell vectors:
1 Br 0.0000 0.0000 0.0000
2 S 0.8899 0.8899 0.8899
3 S 0.1101 0.1101 0.1101
4 Tc 0.5000 0.5000 0.5000

=====

[4]
The following is a PBE-GGA calculation of crystalline BeMo2Br at its relaxed geometry, from Alexandria via LeMat-Bulk.

Output
ΔE to the lowest computed polymorph: 272 meV per atom
V: 19.6 Å³/atom

Unit cell a=4.0023 b=3.2447 c=6.0757 alpha=96.37 beta=90.00 gamma=90.00
Sites, in units of the cell vectors:
1 Br 0.5000 0.7500 0.7500
2 Mo 0.0000 0.9505 0.1028
3 Be 0.5000 0.2500 0.2500
4 Mo 0.0000 0.5495 0.3972

=====

no.,calculated total energy (eV/atom)
1,-1.980
2,-4.826
3,-5.203
4,-6.179